1.
Density functional theory data (PBE-GGA) for HfCuNF2 after structural relaxation.

* SG: No. 123
* magnetic moment: 0.000 Bohr magnetons per cell
* distance to the lowest polymorph of the same formula: 0.000 eV/atom
* formation energy (no corrections): -1.52 eV per atom

Structure (CIF):
```
data_HfCuNF2
_chemical_formula_sum 'Hf1 Cu1 N1 F2'
_cell_length_a 4.098
_cell_length_b 4.098
_cell_length_c 4.222
_cell_angle_alpha 90.00
_cell_angle_beta 90.00
_cell_angle_gamma 90.00
_space_group_name_H-M_alt 'P 1'
_space_group_IT_number 1
loop_
_space_group_symop_operation_xyz
'x,y,z'
loop_
_atom_site_label
_atom_site_fract_x
_atom_site_fract_y
_atom_site_fract_z
_atom_site_occupancy
Cu1 0.500 0.500 0.500 1
N1 0.000 0.000 0.500 1
F1 0.000 0.500 0.000 1
F2 0.500 0.000 0.000 1
Hf1 0.000 0.000 0.000 1
```

2.
Density functional theory data (PBE-GGA) for KRb4Th3Se8 after structural relaxation.

* SG: No. 166
* magnetic moment: 0.007 Bohr magnetons per cell
* formation energy (no corrections): -1.54 eV per atom

Structure (CIF):
```
data_KRb4Th3Se8
_chemical_formula_sum 'K1 Rb4 Th3 Se8'
_cell_length_a 8.895
_cell_length_b 9.481
_cell_length_c 8.894
_cell_angle_alpha 117.99
_cell_angle_beta 120.00
_cell_angle_gamma 90.00
_space_group_name_H-M_alt 'P 1'
_space_group_IT_number 1
loop_
_space_group_symop_operation_xyz
'x,y,z'
loop_
_atom_site_label
_atom_site_fract_x
_atom_site_fract_y
_atom_site_fract_z
_atom_site_occupancy
Th1 0.500 0.500 0.500 1
Th2 0.500 0.500 0.000 1
Se1 0.733 0.700 0.467 1
Se2 0.247 0.701 0.954 1
Se3 0.293 0.299 0.046 1
Se4 0.753 0.299 0.506 1
Se5 0.753 0.299 0.046 1
Th3 0.000 0.500 0.500 1
Rb1 0.500 0.000 0.500 1
K1 0.000 0.500 0.000 1
Se6 0.247 0.701 0.494 1
Rb2 0.000 0.000 0.500 1
Rb3 0.000 0.000 0.000 1
Se7 0.707 0.701 0.954 1
Rb4 0.500 0.000 0.000 1
Se8 0.267 0.300 0.533 1
```

3.
Density functional theory data (PBE-GGA) for Ac2MgPPd6 after structural relaxation.

* SG: No. 2
* formation energy from the elements: -7.3 eV per formula unit
* magnetic moment: 0.000 Bohr magnetons per cell

Structure (CIF):
```
data_Ac2MgPPd6
_chemical_formula_sum 'Ac2 Mg1 P1 Pd6'
_cell_length_a 6.440
_cell_length_b 7.130
_cell_length_c 8.239
_cell_angle_alpha 48.92
_cell_angle_beta 56.49
_cell_angle_gamma 84.42
_space_group_name_H-M_alt 'P 1'
_space_group_IT_number 1
loop_
_space_group_symop_operation_xyz
'x,y,z'
loop_
_atom_site_label
_atom_site_fract_x
_atom_site_fract_y
_atom_site_fract_z
_atom_site_occupancy
P1 0.500 0.500 0.000 1
Pd1 0.240 0.257 0.022 1
Pd2 0.250 0.749 0.871 1
Ac1 0.742 0.257 0.526 1
Mg1 0.000 0.000 0.000 1
Pd3 0.256 0.239 0.481 1
Pd4 0.750 0.251 0.129 1
Pd5 0.760 0.743 0.978 1
Pd6 0.744 0.761 0.519 1
Ac2 0.258 0.743 0.474 1
```

4.
Density functional theory data (PBE-GGA) for UBiSe after structural relaxation.

* SG: No. 139
* magnetic moment: 5.498 Bohr magnetons per cell
* formation energy (no corrections): -0.59 eV per atom

Structure (CIF):
```
data_UBiSe
_chemical_formula_sum 'U2 Bi2 Se2'
_cell_length_a 4.284
_cell_length_b 4.284
_cell_length_c 9.304
_cell_angle_alpha 103.31
_cell_angle_beta 103.31
_cell_angle_gamma 90.00
_space_group_name_H-M_alt 'P 1'
_space_group_IT_number 1
loop_
_space_group_symop_operation_xyz
'x,y,z'
loop_
_atom_site_label
_atom_site_fract_x
_atom_site_fract_y
_atom_site_fract_z
_atom_site_occupancy
U1 0.654 0.654 0.308 1
Se1 0.818 0.818 0.635 1
U2 0.346 0.346 0.692 1
Bi1 0.000 0.500 0.000 1
Bi2 0.500 0.000 0.000 1
Se2 0.182 0.182 0.365 1
```

5.
Density functional theory data (PBE-GGA) for LiTe2Se after structural relaxation.

* SG: No. 160
* magnetic moment: 0.000 Bohr magnetons per cell
* formation energy (no corrections): -0.25 eV per atom

Structure (CIF):
```
data_LiTe2Se
_chemical_formula_sum 'Li1 Te2 Se1'
_cell_length_a 7.026
_cell_length_b 7.026
_cell_length_c 7.026
_cell_angle_alpha 35.77
_cell_angle_beta 35.77
_cell_angle_gamma 35.77
_space_group_name_H-M_alt 'P 1'
_space_group_IT_number 1
loop_
_space_group_symop_operation_xyz
'x,y,z'
loop_
_atom_site_label
_atom_site_fract_x
_atom_site_fract_y
_atom_site_fract_z
_atom_site_occupancy
Te1 0.251 0.251 0.251 1
Li1 0.479 0.479 0.479 1
Te2 0.007 0.007 0.007 1
Se1 0.763 0.763 0.763 1
```

6.
Density functional theory data (PBE-GGA) for TePbS5 after structural relaxation.

* SG: No. 2
* magnetic moment: 0.000 Bohr magnetons per cell
* formation energy (no corrections): 0.01 eV per atom

Structure (CIF):
```
data_TePbS5
_chemical_formula_sum 'Te2 Pb2 S10'
_cell_length_a 5.166
_cell_length_b 10.028
_cell_length_c 10.272
_cell_angle_alpha 105.39
_cell_angle_beta 105.68
_cell_angle_gamma 120.22
_space_group_name_H-M_alt 'P 1'
_space_group_IT_number 1
loop_
_space_group_symop_operation_xyz
'x,y,z'
loop_
_atom_site_label
_atom_site_fract_x
_atom_site_fract_y
_atom_site_fract_z
_atom_site_occupancy
S1 0.997 0.558 0.861 1
S2 0.292 0.474 0.574 1
S3 0.752 0.194 0.115 1
S4 0.395 0.002 0.280 1
S5 0.605 0.998 0.720 1
S6 0.003 0.442 0.139 1
S7 0.033 0.825 0.318 1
Te1 0.265 0.682 0.451 1
S8 0.248 0.806 0.885 1
S9 0.967 0.175 0.682 1
Te2 0.735 0.318 0.549 1
S10 0.708 0.526 0.426 1
Pb1 0.000 0.000 0.000 1
Pb2 0.500 0.500 0.000 1
```

7.
Density functional theory data (PBE-GGA) for AgHg2Au after structural relaxation.

* SG: No. 139
* formation energy from the elements: 0.4 eV per formula unit
* magnetic moment: 0.000 Bohr magnetons per cell

Structure (CIF):
```
data_AgHg2Au
_chemical_formula_sum 'Ag1 Hg2 Au1'
_cell_length_a 5.221
_cell_length_b 5.221
_cell_length_c 5.221
_cell_angle_alpha 130.21
_cell_angle_beta 130.21
_cell_angle_gamma 73.08
_space_group_name_H-M_alt 'P 1'
_space_group_IT_number 1
loop_
_space_group_symop_operation_xyz
'x,y,z'
loop_
_atom_site_label
_atom_site_fract_x
_atom_site_fract_y
_atom_site_fract_z
_atom_site_occupancy
Hg1 0.500 0.500 0.000 1
Au1 0.750 0.250 0.500 1
Ag1 0.250 0.750 0.500 1
Hg2 0.000 0.000 0.000 1
```

8.
Density functional theory data (PBE-GGA) for CdSn2Hg after structural relaxation.

* SG: No. 123
* formation energy from the elements: 0.3 eV per formula unit
* magnetic moment: 0.000 Bohr magnetons per cell
* distance to the lowest polymorph of the same formula: 0.031 eV/atom

Structure (CIF):
```
data_CdSn2Hg
_chemical_formula_sum 'Cd1 Sn2 Hg1'
_cell_length_a 4.469
_cell_length_b 4.804
_cell_length_c 4.804
_cell_angle_alpha 90.00
_cell_angle_beta 90.00
_cell_angle_gamma 90.00
_space_group_name_H-M_alt 'P 1'
_space_group_IT_number 1
loop_
_space_group_symop_operation_xyz
'x,y,z'
loop_
_atom_site_label
_atom_site_fract_x
_atom_site_fract_y
_atom_site_fract_z
_atom_site_occupancy
Sn1 0.000 0.500 0.000 1
Cd1 0.500 0.000 0.000 1
Sn2 0.000 0.000 0.500 1
Hg1 0.500 0.500 0.500 1
```

9.
Density functional theory data (PBE-GGA) for YTeN2F after structural relaxation.

* SG: No. 123
* magnetic moment: 1.927 Bohr magnetons per cell
* distance to the lowest polymorph of the same formula: 0.920 eV/atom
* formation energy (no corrections): 0.78 eV per atom

Structure (CIF):
```
data_YTeN2F
_chemical_formula_sum 'Y1 Te1 N2 F1'
_cell_length_a 4.477
_cell_length_b 4.477
_cell_length_c 4.038
_cell_angle_alpha 90.00
_cell_angle_beta 90.00
_cell_angle_gamma 90.00
_space_group_name_H-M_alt 'P 1'
_space_group_IT_number 1
loop_
_space_group_symop_operation_xyz
'x,y,z'
loop_
_atom_site_label
_atom_site_fract_x
_atom_site_fract_y
_atom_site_fract_z
_atom_site_occupancy
N1 0.500 0.000 0.000 1
Y1 0.500 0.500 0.500 1
Te1 0.000 0.000 0.500 1
N2 0.000 0.500 0.000 1
F1 0.000 0.000 0.000 1
```

10.
Density functional theory data (PBE-GGA) for Ce2Te2N after structural relaxation.

* SG: No. 36
* magnetic moment: 2.138 Bohr magnetons per cell
* distance to the lowest polymorph of the same formula: 0.076 eV/atom
* formation energy (no corrections): -1.37 eV per atom

Structure (CIF):
```
data_Ce2Te2N
_chemical_formula_sum 'Ce4 Te4 N2'
_cell_length_a 4.136
_cell_length_b 7.899
_cell_length_c 8.994
_cell_angle_alpha 90.00
_cell_angle_beta 103.29
_cell_angle_gamma 90.00
_space_group_name_H-M_alt 'P 1'
_space_group_IT_number 1
loop_
_space_group_symop_operation_xyz
'x,y,z'
loop_
_atom_site_label
_atom_site_fract_x
_atom_site_fract_y
_atom_site_fract_z
_atom_site_occupancy
Te1 0.962 0.799 0.924 1
Ce1 0.577 0.621 0.153 1
N1 0.383 0.378 0.766 1
Ce2 0.850 0.472 0.699 1
Ce3 0.423 0.121 0.847 1
N2 0.617 0.878 0.234 1
Te2 0.038 0.299 0.076 1
Te3 0.784 0.097 0.567 1
Te4 0.216 0.597 0.433 1
Ce4 0.150 0.972 0.301 1
```

11.
Density functional theory data (PBE-GGA) for TiRhPb2 after structural relaxation.

* SG: No. 225
* formation energy from the elements: 0.4 eV per formula unit
* magnetic moment: 1.306 Bohr magnetons per cell
* distance to the lowest polymorph of the same formula: 0.000 eV/atom

Structure (CIF):
```
data_TiRhPb2
_chemical_formula_sum 'Ti1 Rh1 Pb2'
_cell_length_a 4.863
_cell_length_b 4.863
_cell_length_c 4.863
_cell_angle_alpha 60.00
_cell_angle_beta 60.00
_cell_angle_gamma 60.00
_space_group_name_H-M_alt 'P 1'
_space_group_IT_number 1
loop_
_space_group_symop_operation_xyz
'x,y,z'
loop_
_atom_site_label
_atom_site_fract_x
_atom_site_fract_y
_atom_site_fract_z
_atom_site_occupancy
Pb1 0.250 0.250 0.250 1
Ti1 0.000 0.000 0.000 1
Pb2 0.750 0.750 0.750 1
Rh1 0.500 0.500 0.500 1
```

12.
Density functional theory data (PBE-GGA) for LiNdCrC after structural relaxation.

* SG: No. 129
* formation energy from the elements: -0.1 eV per formula unit
* magnetic moment: 0.022 Bohr magnetons per cell

Structure (CIF):
```
data_LiNdCrC
_chemical_formula_sum 'Li2 Nd2 Cr2 C2'
_cell_length_a 3.383
_cell_length_b 3.383
_cell_length_c 11.497
_cell_angle_alpha 90.00
_cell_angle_beta 90.00
_cell_angle_gamma 90.00
_space_group_name_H-M_alt 'P 1'
_space_group_IT_number 1
loop_
_space_group_symop_operation_xyz
'x,y,z'
loop_
_atom_site_label
_atom_site_fract_x
_atom_site_fract_y
_atom_site_fract_z
_atom_site_occupancy
Nd1 0.250 0.250 0.772 1
Cr1 0.250 0.750 0.000 1
C1 0.250 0.250 0.110 1
Nd2 0.750 0.750 0.228 1
Li1 0.250 0.750 0.500 1
C2 0.750 0.750 0.890 1
Cr2 0.750 0.250 0.000 1
Li2 0.750 0.250 0.500 1
```